Compound: K3Sr2USe6
Source: the Alexandria database
Functional: PBE
Structure: relaxed

Calculated values
DFT total energy	-4.792	eV per atom
raw formation energy	-1555	meV/atom

Unit cell a=7.6453 b=7.6453 c=8.0637 alpha=99.18 beta=99.18 gamma=119.97
Site moments in Bohr magnetons follow the coordinates.
Sites, in units of the cell vectors:
Se1 0.2293 0.2293 0.7914  -0.04
Se2 0.0700 0.3713 0.2099  -0.04
Sr1 0.3336 0.6664 0.0000  0.00
Se3 0.9300 0.6287 0.7901  -0.04
Se4 0.7707 0.7707 0.2086  -0.04
Se5 0.3713 0.0700 0.2099  -0.04
U1 0.0000 0.0000 0.0000  1.31
K1 0.8291 0.1709 0.5000  0.00
K2 0.5000 0.5000 0.5000  0.00
Se6 0.6287 0.9300 0.7901  -0.04
Sr2 0.6664 0.3336 0.0000  0.00
K3 0.1709 0.8291 0.5000  0.00


Compound: CoAg4Br6
Source: the Alexandria database
Functional: PBE
Structure: relaxed

Calculated values
DFT total energy	-2.907	eV per atom
raw formation energy	-312	meV/atom

Unit cell a=7.7629 b=7.7276 c=13.4042 alpha=72.83 beta=73.17 gamma=59.85
Site moments in Bohr magnetons follow the coordinates.
Sites, in units of the cell vectors:
Br1 0.0231 0.1527 0.2661  0.00
Br2 0.4502 0.1003 0.9711  0.09
Ag1 0.6876 0.2362 0.8080  0.01
Br3 0.9579 0.0973 0.9508  0.09
Br4 0.9632 0.6021 0.9512  0.09
Br5 0.4098 0.5260 0.1454  0.00
Co1 0.6740 0.7815 0.3953  2.35
Ag2 0.2682 0.7362 0.3080  0.01
Br6 0.5581 0.6527 0.7661  0.00
Br7 0.4835 0.1021 0.4512  0.09
Br8 0.9941 0.5973 0.4508  0.09
Ag3 0.2874 0.9875 0.6467  0.01
Ag4 0.7694 0.1703 0.1539  0.01
Ag5 0.0784 0.4875 0.1467  0.01
Ag6 0.7756 0.2084 0.4579  0.01
Br9 0.2493 0.3240 0.7077  0.09
Ag7 0.5582 0.7084 0.9579  0.01
Co2 0.1492 0.2815 0.8953  2.35
Br10 0.4783 0.6003 0.4711  0.09
Br11 0.7191 0.8240 0.2077  0.09
Br12 0.9187 0.0260 0.6454  0.00
Ag8 0.9064 0.6703 0.6539  0.01


Compound: RbCa2Hg2Pb2
Source: the Alexandria database
Functional: PBE
Structure: relaxed

Calculated values
DFT total energy	-2.216	eV per atom
energy of formation	-360	meV/atom

Unit cell a=5.2305 b=5.2305 c=10.8017 alpha=75.99 beta=75.99 gamma=60.00
Sites, in units of the cell vectors:
Hg1 0.4463 0.4463 0.6612
Hg2 0.5537 0.5537 0.3388
Ca1 0.1355 0.1355 0.5934
Pb1 0.7512 0.7512 0.7465
Ca2 0.8645 0.8645 0.4066
Rb1 0.0000 0.0000 0.0000
Pb2 0.2488 0.2488 0.2535


Compound: BaTa
Source: the Alexandria database
Functional: PBE
Structure: relaxed

Calculated values
DFT total energy	-6.368	eV per atom
E above lowest polymorph	0	meV per atom
energy of formation	519	meV/atom

Unit cell a=4.6190 b=4.6190 c=13.7433 alpha=89.99 beta=89.99 gamma=60.02
Sites, in units of the cell vectors:
Ba1 0.3593 0.3593 0.7777
Ta1 0.6948 0.6948 0.2342
Ta2 0.0282 0.0282 0.3215
Ta3 0.3615 0.3615 0.2776
Ba2 0.6946 0.6946 0.4957
Ba3 0.0282 0.0282 0.0600


Compound: ThZn6Au12
Source: the Alexandria database
Functional: PBE
Structure: relaxed

Calculated values
DFT total energy	-3.040	eV per atom
energy of formation	-177	meV/atom

Unit cell a=7.5069 b=7.5069 c=7.5069 alpha=105.91 beta=105.91 gamma=105.91
Sites, in units of the cell vectors:
Au1 0.5000 0.1185 0.8815
Zn1 0.2887 0.6907 0.2887
Au2 0.8815 0.5000 0.1185
Au3 0.8815 0.1185 0.5000
Au4 0.6323 0.8840 0.6323
Au5 0.3677 0.3677 0.1160
Au6 0.1185 0.8815 0.5000
Au7 0.8840 0.6323 0.6323
Au8 0.1160 0.3677 0.3677
Zn2 0.7113 0.3093 0.7113
Zn3 0.6907 0.2887 0.2887
Au9 0.5000 0.8815 0.1185
Th1 0.0000 0.0000 0.0000
Au10 0.3677 0.1160 0.3677
Zn4 0.3093 0.7113 0.7113
Au11 0.6323 0.6323 0.8840
Zn5 0.7113 0.7113 0.3093
Au12 0.1185 0.5000 0.8815
Zn6 0.2887 0.2887 0.6907


Compound: KBe3P
Source: the Alexandria database
Functional: PBE
Structure: relaxed

Calculated values
DFT total energy	-0.913	eV per atom
E above lowest polymorph	1709	meV per atom
energy of formation	2624	meV/atom

Unit cell a=5.0042 b=5.0042 c=5.0042 alpha=90.00 beta=90.00 gamma=90.00
Sites, in units of the cell vectors:
K1 0.0000 0.0000 0.0000
Be1 0.5000 0.0000 0.0000
Be2 0.0000 0.0000 0.5000
Be3 0.0000 0.5000 0.0000
P1 0.5000 0.5000 0.5000


Compound: Ta2NiRh
Source: the Alexandria database
Functional: PBE
Structure: relaxed

Calculated values
DFT total energy	-9.262	eV per atom
energy of formation	-53	meV/atom

Unit cell a=9.0852 b=9.0852 c=9.0852 alpha=17.95 beta=17.95 gamma=17.95
Sites, in units of the cell vectors:
Ni1 0.2500 0.2500 0.2500
Rh1 0.7500 0.7500 0.7500
Ta1 0.5020 0.5020 0.5020
Ta2 0.9980 0.9980 0.9980


Compound: YCr2Si
Source: the Alexandria database
Functional: PBE
Structure: relaxed

Calculated values
DFT total energy	-7.726	eV per atom
raw formation energy	57	meV/atom

Unit cell a=4.5776 b=4.5776 c=5.1084 alpha=79.15 beta=79.15 gamma=40.18
Sites, in units of the cell vectors:
Y1 0.2500 0.2500 0.2500
Cr1 0.4873 0.4873 0.6037
Cr2 0.0127 0.0127 0.8963
Si1 0.7500 0.7500 0.7500


Please write out number 6 again, unchanged.
Compound: KBe3P
Source: the Alexandria database
Functional: PBE
Structure: relaxed

Calculated values
DFT total energy	-0.913	eV per atom
E above lowest polymorph	1709	meV per atom
energy of formation	2624	meV/atom

Unit cell a=5.0042 b=5.0042 c=5.0042 alpha=90.00 beta=90.00 gamma=90.00
Sites, in units of the cell vectors:
K1 0.0000 0.0000 0.0000
Be1 0.5000 0.0000 0.0000
Be2 0.0000 0.0000 0.5000
Be3 0.0000 0.5000 0.0000
P1 0.5000 0.5000 0.5000


What did the sixth record say?
Compound: KBe3P
Source: the Alexandria database
Functional: PBE
Structure: relaxed

Calculated values
DFT total energy	-0.913	eV per atom
E above lowest polymorph	1709	meV per atom
energy of formation	2624	meV/atom

Unit cell a=5.0042 b=5.0042 c=5.0042 alpha=90.00 beta=90.00 gamma=90.00
Sites, in units of the cell vectors:
K1 0.0000 0.0000 0.0000
Be1 0.5000 0.0000 0.0000
Be2 0.0000 0.0000 0.5000
Be3 0.0000 0.5000 0.0000
P1 0.5000 0.5000 0.5000


Q: What is the DFT total energy in the eighth record?
A: -7.726 eV per atom